Entry 1:
# La3Th2Te8 (PBE, relaxed)
# * volume: 914 Å³/cell
# * energy: -143.286 eV for the cell shown
# * theoretical density: 6907 kg/m³
data_La3Th2Te8
_chemical_formula_sum 'La6 Th4 Te16'
_cell_length_a 10.898
_cell_length_b 15.393
_cell_length_c 5.450
_cell_angle_alpha 90.00
_cell_angle_beta 90.00
_cell_angle_gamma 90.00
_symmetry_space_group_name_H-M 'C m m m'
_symmetry_Int_Tables_number 65
_symmetry_space_group_name_Hall '-C 2 2'
loop_
_atom_site_label
_atom_site_fract_x
_atom_site_fract_y
_atom_site_fract_z
La1 0.000 0.000 0.000
La2 0.225 0.500 0.500
Th1 0.000 0.255 0.000
Te1 0.000 0.122 0.500
Te2 0.000 0.365 0.500
Te3 0.246 0.127 0.000

Entry 2:
# Tl10Hg6Pb (PBE, relaxed)
# * volume: 516 Å³/cell
# * energy: -28.879 eV for the cell shown
# * ΔE_f: 0.30 eV per formula unit
# * theoretical density: 11124 kg/m³
data_Tl10Hg6Pb
_chemical_formula_sum 'Tl10 Hg6 Pb1'
_cell_length_a 9.5070
_cell_length_b 9.5070
_cell_length_c 6.5881
_cell_angle_alpha 90.00
_cell_angle_beta 90.00
_cell_angle_gamma 120.00
_symmetry_space_group_name_H-M 'P -3 1 m'
_symmetry_Int_Tables_number 162
_symmetry_space_group_name_Hall '-P 3 2'
loop_
_atom_site_label
_atom_site_fract_x
_atom_site_fract_y
_atom_site_fract_z
Tl1 0.0000 0.2851 0.2906
Tl2 0.3333 0.6667 0.0000
Tl3 0.3333 0.6667 0.5000
Hg1 0.0000 0.3716 0.7837
Pb1 0.0000 0.0000 0.0000

Entry 3:
# As2Ir (PBE, relaxed)
# * volume: 103 Å³/cell
# * energy: -32.422 eV for the cell shown
# * ΔE_f: 1.95 eV per formula unit
# * theoretical density: 11018 kg/m³
data_As2Ir
_chemical_formula_sum 'As4 Ir2'
_cell_length_a 4.5175
_cell_length_b 4.5175
_cell_length_c 5.8339
_cell_angle_alpha 90.00
_cell_angle_beta 90.00
_cell_angle_gamma 120.00
_symmetry_space_group_name_H-M 'P 63/m m c'
_symmetry_Int_Tables_number 194
_symmetry_space_group_name_Hall '-P 6c 2c'
loop_
_atom_site_label
_atom_site_fract_x
_atom_site_fract_y
_atom_site_fract_z
As1 0.3333 0.6667 0.0329
Ir1 0.0000 0.0000 0.2500

Entry 4:
# AlIO2 (PBE, relaxed)
# * energy above the lowest structure with this stoichiometry: 0 meV per atom
# * volume: 253 Å³/cell
# * energy: -83.772 eV for the cell shown
# * theoretical density: 4877 kg/m³
data_AlIO2
_chemical_formula_sum 'Al4 I4 O8'
_cell_length_a 5.465
_cell_length_b 5.465
_cell_length_c 8.476
_cell_angle_alpha 90.00
_cell_angle_beta 90.00
_cell_angle_gamma 90.00
_symmetry_space_group_name_H-M 'I -4 2 d'
_symmetry_Int_Tables_number 122
_symmetry_space_group_name_Hall 'I -4 2bw'
loop_
_atom_site_label
_atom_site_fract_x
_atom_site_fract_y
_atom_site_fract_z
Al1 0.000 0.000 0.000
I1 0.000 0.000 0.500
O1 0.065 0.250 0.125

Entry 5:
# CdSi2Ge (PBE, relaxed)
# * energy above the lowest structure with this stoichiometry: 149 meV per atom
# * volume: 300 Å³/cell
# * energy: -56.548 eV for the cell shown
# * theoretical density: 5338 kg/m³
data_CdSi2Ge
_chemical_formula_sum 'Cd4 Si8 Ge4'
_cell_length_a 6.696
_cell_length_b 6.696
_cell_length_c 6.696
_cell_angle_alpha 90.00
_cell_angle_beta 90.00
_cell_angle_gamma 90.00
_symmetry_space_group_name_H-M 'F m -3 m'
_symmetry_Int_Tables_number 225
_symmetry_space_group_name_Hall '-F 4 2 3'
loop_
_atom_site_label
_atom_site_fract_x
_atom_site_fract_y
_atom_site_fract_z
Cd1 0.000 0.000 0.000
Si1 0.250 0.250 0.250
Ge1 0.000 0.000 0.500

Entry 6:
# Sr2Br (PBE, relaxed)
# * energy above the lowest structure with this stoichiometry: 78 meV per atom
# * volume: 542 Å³/cell
# * energy: -30.744 eV for the cell shown
# * theoretical density: 3124 kg/m³
data_Sr2Br
_chemical_formula_sum 'Sr8 Br4'
_cell_length_a 14.416
_cell_length_b 4.200
_cell_length_c 8.993
_cell_angle_alpha 90.00
_cell_angle_beta 94.93
_cell_angle_gamma 90.00
_symmetry_space_group_name_H-M 'C 1 m 1'
_symmetry_Int_Tables_number 8
_symmetry_space_group_name_Hall 'C -2y'
loop_
_atom_site_label
_atom_site_fract_x
_atom_site_fract_y
_atom_site_fract_z
Sr1 0.000 0.000 0.000
Sr2 0.007 0.000 0.509
Sr3 0.220 0.500 0.288
Sr4 0.281 0.000 0.701
Br1 0.277 0.500 0.958
Br2 0.401 0.000 0.266